No. 1
VASP calculation (GGA-PBE) on a relaxed Co2Si crystal.

abc: 4.445 4.445 4.445
angles: 106.48 106.48 115.64
Each line ends with the local moment (μB).
Positions (direct):
Co1 0.159 0.341 0.500  0.83
Co2 0.841 0.659 0.500  0.83
Co3 0.659 0.159 0.817  0.83
Co4 0.341 0.841 0.183  0.83
Si1 0.750 0.750 0.000  -0.03
Si2 0.250 0.250 0.000  -0.03

The formation energy (no corrections) is -0.28 eV/atom. Its final energy is -41.0 eV/cell.

No. 2
VASP calculation (GGA-PBE) on a relaxed DyErPd2 crystal.

abc: 4.071 4.071 7.006
angles: 73.11 73.11 60.00
Positions (direct):
Dy1 0.000 0.000 0.000
Pd1 0.751 0.751 0.746
Pd2 0.249 0.249 0.254
Er1 0.500 0.500 0.500

The energy of formation comes out at -2.99 eV/f.u. Its final energy is -22.5 eV/cell.

No. 3
VASP calculation (GGA-PBE) on a relaxed FeAs4Se crystal.

abc: 5.518 5.518 5.518
angles: 60.00 60.00 60.00
Each line ends with the local moment (μB).
Positions (direct):
Fe1 0.250 0.250 0.250  3.25
As1 0.625 0.625 0.124  0.01
As2 0.625 0.124 0.625  0.01
As3 0.625 0.625 0.625  0.01
As4 0.124 0.625 0.625  0.01
Se1 0.000 0.000 0.000  0.04

The formation energy (no corrections) is 0.71 eV/atom. Its final energy is -26.3 eV/cell.

No. 4
VASP calculation (GGA-PBE) on a relaxed PrCuH6Pt crystal.

abc: 4.645 4.645 4.458
angles: 90.00 90.00 60.00
Positions (direct):
Pr1 0.000 0.000 0.000
Cu1 0.667 0.667 0.500
H1 0.999 0.501 0.240
H2 0.501 0.999 0.760
H3 0.501 0.501 0.760
H4 0.999 0.501 0.760
H5 0.501 0.501 0.240
H6 0.501 0.999 0.240
Pt1 0.333 0.333 0.500

Its final energy is -37.5 eV/cell.

No. 5
VASP calculation (GGA-PBE) on a relaxed KCo2P2 crystal.

abc: 3.675 3.675 7.141
angles: 104.91 104.91 90.00
Positions (direct):
P1 0.341 0.341 0.682
P2 0.659 0.659 0.318
K1 0.000 0.000 0.000
Co1 0.250 0.750 0.500
Co2 0.750 0.250 0.500

The energy of formation comes out at -2.98 eV/f.u. Its final energy is -29.1 eV/cell.

No. 6
VASP calculation (GGA-PBE) on a relaxed Cd2TcHg crystal.

abc: 5.351 5.351 5.351
angles: 134.01 134.01 67.08
Each line ends with the local moment (μB).
Positions (direct):
Cd1 0.000 0.000 0.000  0.00
Cd2 0.500 0.500 0.000  0.00
Hg1 0.250 0.750 0.500  -0.02
Tc1 0.750 0.250 0.500  1.42

The energy of formation comes out at 1.90 eV/f.u. Its final energy is -10.6 eV/cell.

No. 7
VASP calculation (GGA-PBE) on a relaxed TaCrCo2 crystal.

abc: 4.178 2.730 4.516
angles: 87.41 90.00 90.00
Each line ends with the local moment (μB).
Positions (direct):
Co1 0.000 0.134 0.966  0.06
Co2 0.500 0.124 0.314  0.27
Cr1 0.000 0.587 0.407  1.61
Ta1 0.500 0.655 0.813  -0.06

The energy of formation comes out at 0.10 eV/f.u. Its final energy is -35.6 eV/cell.

No. 8
VASP calculation (GGA-PBE) on a relaxed Cs3TlBi2 crystal.

abc: 9.443 8.158 10.434
angles: 113.01 116.91 90.00
Positions (direct):
Cs1 0.366 0.672 0.343
Cs2 0.634 0.328 0.657
Cs3 0.023 0.828 0.657
Cs4 0.977 0.172 0.343
Cs5 0.500 0.750 0.000
Cs6 0.500 0.250 0.000
Tl1 0.000 0.250 0.000
Tl2 0.000 0.750 0.000
Bi1 0.282 0.095 0.190
Bi2 0.718 0.905 0.810
Bi3 0.092 0.405 0.810
Bi4 0.908 0.595 0.190

The energy of formation comes out at -1.87 eV/f.u. Its final energy is -29.1 eV/cell.

No. 9
VASP calculation (GGA-PBE) on a relaxed W2C crystal.

abc: 2.807 6.990 7.544
angles: 90.00 90.00 90.00
Positions (direct):
C1 0.250 0.764 0.299
C2 0.750 0.736 0.799
C3 0.250 0.264 0.201
C4 0.750 0.236 0.701
W1 0.250 0.005 0.822
W2 0.750 0.495 0.322
W3 0.250 0.505 0.678
W4 0.750 0.995 0.178
W5 0.250 0.179 0.484
W6 0.750 0.321 0.984
W7 0.250 0.679 0.016
W8 0.750 0.821 0.516

The energy of formation comes out at 0.64 eV/f.u. Its final energy is -138.0 eV/cell.

No. 10
VASP calculation (GGA-PBE) on a relaxed YMnSe crystal.

abc: 5.663 5.663 3.521
angles: 71.88 71.89 36.23
Each line ends with the local moment (μB).
Positions (direct):
Mn1 0.982 0.982 0.018  3.78
Se1 0.352 0.352 0.648  0.08
Y1 0.665 0.665 0.335  -0.20

The formation energy (no corrections) is -0.50 eV/atom. Its final energy is -20.6 eV/cell.

No. 11
VASP calculation (GGA-PBE) on a relaxed LaPm2V crystal.

abc: 3.457 3.457 11.967
angles: 81.70 81.70 60.00
Each line ends with the local moment (μB).
Positions (direct):
V1 0.000 0.000 0.000  2.65
La1 0.500 0.500 0.500  0.03
Pm1 0.080 0.080 0.761  0.03
Pm2 0.920 0.920 0.239  0.03

The energy of formation comes out at 2.54 eV/f.u. Its final energy is -21.0 eV/cell.

No. 12
VASP calculation (GGA-PBE) on a relaxed PmErCu10 crystal.

abc: 4.107 5.070 8.707
angles: 90.00 90.00 90.00
Positions (direct):
Pm1 0.000 0.000 0.000
Er1 0.000 0.500 0.500
Cu1 0.000 0.000 0.337
Cu2 0.000 0.500 0.830
Cu3 0.000 0.500 0.170
Cu4 0.000 0.000 0.663
Cu5 0.500 0.000 0.500
Cu6 0.500 0.500 0.000
Cu7 0.500 0.253 0.254
Cu8 0.500 0.747 0.746
Cu9 0.500 0.747 0.254
Cu10 0.500 0.253 0.746

The energy of formation comes out at -2.20 eV/f.u. Its final energy is -52.5 eV/cell.

No. 13
VASP calculation (GGA-PBE) on a relaxed Zn2RhPb crystal.

abc: 4.065 4.065 4.216
angles: 90.00 90.00 90.00
Positions (direct):
Pb1 0.500 0.000 0.500
Rh1 0.000 0.500 0.500
Zn1 0.000 0.000 0.000
Zn2 0.500 0.500 0.000

The energy of formation comes out at 0.35 eV/f.u. Its final energy is -13.3 eV/cell.

No. 14
VASP calculation (GGA-PBE) on a relaxed Li4Pd crystal.

abc: 5.658 4.922 7.905
angles: 65.45 69.03 54.92
Positions (direct):
Li1 0.793 0.587 0.827
Li2 0.293 0.587 0.827
Li3 0.842 0.184 0.631
Li4 0.342 0.184 0.631
Li5 0.658 0.816 0.369
Li6 0.158 0.816 0.369
Li7 0.707 0.413 0.173
Li8 0.207 0.413 0.173
Pd1 0.750 0.000 0.000
Pd2 0.250 0.000 0.000

The energy of formation comes out at -1.03 eV/f.u. Its final energy is -27.8 eV/cell.

No. 15
VASP calculation (GGA-PBE) on a relaxed MnRuAu crystal.

abc: 3.675 3.241 4.297
angles: 90.00 90.00 90.00
Each line ends with the local moment (μB).
Positions (direct):
Mn1 0.000 0.500 0.500  2.81
Ru1 0.500 0.000 0.500  -0.28
Au1 0.000 0.000 0.000  0.04

The energy of formation comes out at 1.85 eV/f.u. Its final energy is -19.9 eV/cell.

No. 16
VASP calculation (GGA-PBE) on a relaxed KBeSn3 crystal.

abc: 5.944 5.944 5.944
angles: 90.00 90.00 90.00
Positions (direct):
Be1 0.500 0.500 0.500
K1 0.000 0.000 0.000
Sn1 0.000 0.500 0.000
Sn2 0.000 0.000 0.500
Sn3 0.500 0.000 0.000

The energy of formation comes out at 8.26 eV/f.u. Its final energy is -8.6 eV/cell.

No. 17
VASP calculation (GGA-PBE) on a relaxed TlMoP2 crystal.

abc: 4.267 4.267 6.781
angles: 80.51 80.51 44.41
Positions (direct):
Mo1 0.750 0.750 0.750
P1 0.023 0.023 0.881
P2 0.477 0.477 0.619
Tl1 0.250 0.250 0.250

The energy of formation comes out at 0.25 eV/f.u. Its final energy is -23.8 eV/cell.

No. 18
VASP calculation (GGA-PBE) on a relaxed SrAuSeN2 crystal.

abc: 4.276 4.276 5.416
angles: 90.00 90.00 90.00
Each line ends with the local moment (μB).
Positions (direct):
Sr1 0.500 0.500 0.500  0.00
Au1 0.000 0.000 0.000  0.14
Se1 0.000 0.000 0.500  0.11
N1 0.000 0.500 0.000  0.84
N2 0.500 0.000 0.000  0.84

The formation energy (no corrections) is 0.74 eV/atom. Its final energy is -21.4 eV/cell.

No. 19
VASP calculation (GGA-PBE) on a relaxed NaTa2Fe2 crystal.

abc: 7.413 7.413 2.903
angles: 90.00 90.00 90.00
Positions (direct):
Na1 0.000 0.000 0.000
Na2 0.500 0.500 0.000
Fe1 0.362 0.862 0.000
Fe2 0.862 0.638 0.000
Fe3 0.638 0.138 0.000
Fe4 0.138 0.362 0.000
Ta1 0.147 0.647 0.500
Ta2 0.647 0.853 0.500
Ta3 0.853 0.353 0.500
Ta4 0.353 0.147 0.500

The energy of formation comes out at 1.53 eV/f.u. Its final energy is -80.8 eV/cell.

No. 20
VASP calculation (GGA-PBE) on a relaxed Ag2Ge2Mo crystal.

abc: 6.787 6.787 3.833
angles: 90.00 90.00 90.00
Positions (direct):
Mo1 0.000 0.000 0.000
Mo2 0.500 0.500 0.000
Ge1 0.351 0.851 0.000
Ge2 0.851 0.649 0.000
Ge3 0.649 0.149 0.000
Ge4 0.149 0.351 0.000
Ag1 0.159 0.659 0.500
Ag2 0.659 0.841 0.500
Ag3 0.841 0.341 0.500
Ag4 0.341 0.159 0.500

The energy of formation comes out at 1.89 eV/f.u. Its final energy is -47.8 eV/cell.

No. 21
VASP calculation (GGA-PBE) on a relaxed Na3Pa2NiTe6 crystal.

abc: 7.415 7.415 7.992
angles: 98.96 98.96 120.02
Each line ends with the local moment (μB).
Positions (direct):
Na1 0.175 0.825 0.500  0.00
Na2 0.825 0.175 0.500  0.00
Na3 0.500 0.500 0.500  0.00
Pa1 0.336 0.664 0.000  0.79
Pa2 0.664 0.336 0.000  0.79
Ni1 0.000 0.000 0.000  0.40
Te1 0.927 0.613 0.777  -0.01
Te2 0.764 0.764 0.227  -0.02
Te3 0.073 0.387 0.223  -0.01
Te4 0.613 0.927 0.777  -0.01
Te5 0.236 0.236 0.773  -0.02
Te6 0.387 0.073 0.223  -0.01

The formation energy (no corrections) is -0.69 eV/atom. Its final energy is -55.9 eV/cell.

No. 22
VASP calculation (GGA-PBE) on a relaxed Ca2ZrReAg crystal.

abc: 5.124 5.370 5.124
angles: 90.00 90.00 90.00
Positions (direct):
Re1 0.500 0.500 0.500
Ca1 0.000 0.000 0.500
Ca2 0.500 0.000 0.000
Zr1 0.000 0.500 0.000
Ag1 0.000 0.000 0.000

The energy of formation comes out at 6.80 eV/f.u. Its final energy is -21.1 eV/cell.

No. 23
VASP calculation (GGA-PBE) on a relaxed ZrScAlTc crystal.

abc: 3.380 3.380 6.503
angles: 90.00 90.00 90.00
Positions (direct):
Zr1 0.500 0.500 0.127
Sc1 0.500 0.500 0.593
Al1 0.000 0.000 0.857
Tc1 0.000 0.000 0.351

The energy of formation comes out at -1.77 eV/f.u. Its final energy is -30.8 eV/cell.

No. 24
VASP calculation (GGA-PBE) on a relaxed Ac4PS3 crystal.

abc: 6.140 6.140 6.140
angles: 90.00 90.00 90.00
Positions (direct):
Ac1 0.500 0.000 0.000
Ac2 0.000 0.500 0.000
Ac3 0.000 0.000 0.500
Ac4 0.500 0.500 0.500
P1 0.000 0.000 0.000
S1 0.000 0.500 0.500
S2 0.500 0.000 0.500
S3 0.500 0.500 0.000

The formation energy (no corrections) is -1.91 eV/atom. Its final energy is -49.5 eV/cell.

No. 25
VASP calculation (GGA-PBE) on a relaxed SmPd3Au2 crystal.

abc: 4.020 4.247 12.786
angles: 90.00 90.00 90.00
Positions (direct):
Sm1 0.000 0.500 0.500
Sm2 0.000 0.000 0.000
Pd1 0.500 0.500 0.671
Pd2 0.500 0.000 0.500
Pd3 0.500 0.500 0.329
Pd4 0.500 0.000 0.171
Pd5 0.500 0.500 0.000
Pd6 0.500 0.000 0.829
Au1 0.000 0.000 0.668
Au2 0.000 0.000 0.332
Au3 0.000 0.500 0.168
Au4 0.000 0.500 0.832

The energy of formation comes out at -3.45 eV/f.u. Its final energy is -60.6 eV/cell.

No. 26
VASP calculation (GGA-PBE) on a relaxed Cs2AsPF6 crystal.

abc: 5.946 5.946 7.150
angles: 65.43 65.43 90.00
Positions (direct):
Cs1 0.750 0.250 0.500
Cs2 0.250 0.750 0.500
P1 0.500 0.500 0.000
As1 0.000 0.000 0.000
F1 0.174 0.174 0.652
F2 0.826 0.826 0.348
F3 0.249 0.249 0.000
F4 0.751 0.751 0.000
F5 0.751 0.249 0.000
F6 0.249 0.751 0.000

The formation energy (no corrections) is -1.97 eV/atom. Its final energy is -42.6 eV/cell.